# 1
# Na2Ag2As

A crystal of Na2Ag2As relaxed with PBEsol (meta-GGA SCAN, Alexandria).

Computed properties:
E_form ... 401 meV/atom

```
data_Na2Ag2As
_cell_length_a 7.569
_cell_length_b 7.569
_cell_length_c 7.569
_cell_angle_alpha 150.48
_cell_angle_beta 150.48
_cell_angle_gamma 42.24
_symmetry_space_group_name_H-M 'P 1'
_symmetry_Int_Tables_number 1
loop_
_symmetry_equiv_pos_as_xyz
'x,y,z'
loop_
_atom_site_label
_atom_site_type_symbol
_atom_site_fract_x
_atom_site_fract_y
_atom_site_fract_z
_atom_site_occupancy
Na1 Na 0.250 0.750 0.500 1
Na2 Na 0.750 0.250 0.500 1
Ag1 Ag 0.091 0.091 0.000 1
Ag2 Ag 0.909 0.909 0.000 1
As1 As 0.500 0.500 0.000 1
```


# 2
# GaTc3Cl

A crystal of GaTc3Cl relaxed with PBEsol (meta-GGA SCAN, Alexandria).

```
data_GaTc3Cl
_cell_length_a 4.272
_cell_length_b 4.272
_cell_length_c 4.272
_cell_angle_alpha 90.00
_cell_angle_beta 90.00
_cell_angle_gamma 90.00
_symmetry_space_group_name_H-M 'P 1'
_symmetry_Int_Tables_number 1
loop_
_symmetry_equiv_pos_as_xyz
'x,y,z'
loop_
_atom_site_label
_atom_site_type_symbol
_atom_site_fract_x
_atom_site_fract_y
_atom_site_fract_z
_atom_site_occupancy
Ga1 Ga 0.000 0.000 0.000 1
Tc1 Tc 0.000 0.500 0.500 1
Tc2 Tc 0.500 0.000 0.500 1
Tc3 Tc 0.500 0.500 0.000 1
Cl1 Cl 0.500 0.500 0.500 1
```


# 3
# LaHPd3

A crystal of LaHPd3 relaxed with PBEsol (meta-GGA SCAN, Alexandria).

```
data_LaHPd3
_cell_length_a 4.199
_cell_length_b 4.199
_cell_length_c 4.199
_cell_angle_alpha 90.00
_cell_angle_beta 90.00
_cell_angle_gamma 90.00
_symmetry_space_group_name_H-M 'P 1'
_symmetry_Int_Tables_number 1
loop_
_symmetry_equiv_pos_as_xyz
'x,y,z'
loop_
_atom_site_label
_atom_site_type_symbol
_atom_site_fract_x
_atom_site_fract_y
_atom_site_fract_z
_atom_site_occupancy
La1 La 0.000 0.000 0.000 1
H1 H 0.500 0.500 0.500 1
Pd1 Pd 0.000 0.500 0.500 1
Pd2 Pd 0.500 0.000 0.500 1
Pd3 Pd 0.500 0.500 0.000 1
```


# 4
# FeAg4Se

A crystal of FeAg4Se relaxed with PBEsol (meta-GGA SCAN, Alexandria).

```
data_FeAg4Se
_cell_length_a 5.337
_cell_length_b 5.337
_cell_length_c 5.337
_cell_angle_alpha 60.00
_cell_angle_beta 60.00
_cell_angle_gamma 60.00
_symmetry_space_group_name_H-M 'P 1'
_symmetry_Int_Tables_number 1
loop_
_symmetry_equiv_pos_as_xyz
'x,y,z'
loop_
_atom_site_label
_atom_site_type_symbol
_atom_site_fract_x
_atom_site_fract_y
_atom_site_fract_z
_atom_site_occupancy
Fe1 Fe 0.000 0.000 0.000 1
Ag1 Ag 0.124 0.625 0.625 1
Ag2 Ag 0.625 0.124 0.625 1
Ag3 Ag 0.625 0.625 0.124 1
Ag4 Ag 0.625 0.625 0.625 1
Se1 Se 0.250 0.250 0.250 1
```


# 5
# Na2ZrTaSi

A crystal of Na2ZrTaSi relaxed with PBEsol (meta-GGA SCAN, Alexandria).

```
data_Na2ZrTaSi
_cell_length_a 5.370
_cell_length_b 5.370
_cell_length_c 4.791
_cell_angle_alpha 90.00
_cell_angle_beta 90.00
_cell_angle_gamma 90.00
_symmetry_space_group_name_H-M 'P 1'
_symmetry_Int_Tables_number 1
loop_
_symmetry_equiv_pos_as_xyz
'x,y,z'
loop_
_atom_site_label
_atom_site_type_symbol
_atom_site_fract_x
_atom_site_fract_y
_atom_site_fract_z
_atom_site_occupancy
Na1 Na 0.000 0.500 0.000 1
Na2 Na 0.500 0.000 0.000 1
Zr1 Zr 0.000 0.000 0.000 1
Ta1 Ta 0.000 0.000 0.500 1
Si1 Si 0.500 0.500 0.500 1
```


# 6
# Zn2IrSe

A crystal of Zn2IrSe relaxed with PBEsol (meta-GGA SCAN, Alexandria).

```
data_Zn2IrSe
_cell_length_a 4.833
_cell_length_b 4.833
_cell_length_c 4.833
_cell_angle_alpha 133.12
_cell_angle_beta 133.12
_cell_angle_gamma 68.47
_symmetry_space_group_name_H-M 'P 1'
_symmetry_Int_Tables_number 1
loop_
_symmetry_equiv_pos_as_xyz
'x,y,z'
loop_
_atom_site_label
_atom_site_type_symbol
_atom_site_fract_x
_atom_site_fract_y
_atom_site_fract_z
_atom_site_occupancy
Zn1 Zn 0.250 0.750 0.500 1
Zn2 Zn 0.750 0.250 0.500 1
Ir1 Ir 0.000 0.000 0.000 1
Se1 Se 0.500 0.500 0.000 1
```


# 7
# LaTc2P

A crystal of LaTc2P relaxed with PBEsol (meta-GGA SCAN, Alexandria).

Computed properties:
E_form ... 317 meV/atom

```
data_LaTc2P
_cell_length_a 4.753
_cell_length_b 4.753
_cell_length_c 4.753
_cell_angle_alpha 125.90
_cell_angle_beta 125.90
_cell_angle_gamma 80.06
_symmetry_space_group_name_H-M 'P 1'
_symmetry_Int_Tables_number 1
loop_
_symmetry_equiv_pos_as_xyz
'x,y,z'
loop_
_atom_site_label
_atom_site_type_symbol
_atom_site_fract_x
_atom_site_fract_y
_atom_site_fract_z
_atom_site_occupancy
La1 La 0.000 0.000 0.000 1
Tc1 Tc 0.500 0.500 0.000 1
Tc2 Tc 0.750 0.250 0.500 1
P1 P 0.250 0.750 0.500 1
```


# 8
# BaSF2

A crystal of BaSF2 relaxed with PBEsol (meta-GGA SCAN, Alexandria).

```
data_BaSF2
_cell_length_a 8.541
_cell_length_b 8.541
_cell_length_c 8.541
_cell_angle_alpha 149.61
_cell_angle_beta 149.61
_cell_angle_gamma 43.51
_symmetry_space_group_name_H-M 'P 1'
_symmetry_Int_Tables_number 1
loop_
_symmetry_equiv_pos_as_xyz
'x,y,z'
loop_
_atom_site_label
_atom_site_type_symbol
_atom_site_fract_x
_atom_site_fract_y
_atom_site_fract_z
_atom_site_occupancy
Ba1 Ba 0.000 0.000 0.000 1
Ba2 Ba 0.750 0.250 0.500 1
S1 S 0.250 0.750 0.500 1
S2 S 0.500 0.500 0.000 1
F1 F 0.179 0.625 0.054 1
F2 F 0.375 0.429 0.554 1
F3 F 0.571 0.125 0.946 1
F4 F 0.875 0.821 0.446 1
```


# 9
# Mg2InNi

A crystal of Mg2InNi relaxed with PBEsol (meta-GGA SCAN, Alexandria).

Computed properties:
E_form ... -130 meV/atom

```
data_Mg2InNi
_cell_length_a 4.567
_cell_length_b 4.567
_cell_length_c 4.567
_cell_angle_alpha 60.00
_cell_angle_beta 60.00
_cell_angle_gamma 60.00
_symmetry_space_group_name_H-M 'P 1'
_symmetry_Int_Tables_number 1
loop_
_symmetry_equiv_pos_as_xyz
'x,y,z'
loop_
_atom_site_label
_atom_site_type_symbol
_atom_site_fract_x
_atom_site_fract_y
_atom_site_fract_z
_atom_site_occupancy
Mg1 Mg 0.000 0.000 0.000 1
Mg2 Mg 0.250 0.250 0.250 1
In1 In 0.750 0.750 0.750 1
Ni1 Ni 0.500 0.500 0.500 1
```


# 10
# CdReB2F

A crystal of CdReB2F relaxed with PBEsol (meta-GGA SCAN, Alexandria).

```
data_CdReB2F
_cell_length_a 4.223
_cell_length_b 4.223
_cell_length_c 4.075
_cell_angle_alpha 90.00
_cell_angle_beta 90.00
_cell_angle_gamma 90.00
_symmetry_space_group_name_H-M 'P 1'
_symmetry_Int_Tables_number 1
loop_
_symmetry_equiv_pos_as_xyz
'x,y,z'
loop_
_atom_site_label
_atom_site_type_symbol
_atom_site_fract_x
_atom_site_fract_y
_atom_site_fract_z
_atom_site_occupancy
Cd1 Cd 0.000 0.000 0.000 1
Re1 Re 0.500 0.500 0.500 1
B1 B 0.000 0.500 0.000 1
B2 B 0.500 0.000 0.000 1
F1 F 0.000 0.000 0.500 1
```


# 11
# RuRh

A crystal of RuRh relaxed with PBEsol (meta-GGA SCAN, Alexandria).

Computed properties:
E_form ... 1078 meV/atom

```
data_RuRh
_cell_length_a 3.816
_cell_length_b 3.816
_cell_length_c 3.816
_cell_angle_alpha 60.00
_cell_angle_beta 60.00
_cell_angle_gamma 60.00
_symmetry_space_group_name_H-M 'P 1'
_symmetry_Int_Tables_number 1
loop_
_symmetry_equiv_pos_as_xyz
'x,y,z'
loop_
_atom_site_label
_atom_site_type_symbol
_atom_site_fract_x
_atom_site_fract_y
_atom_site_fract_z
_atom_site_occupancy
Ru1 Ru 0.000 0.000 0.000 1
Rh1 Rh 0.250 0.250 0.250 1
```


# 12
# Cd2CoMo

A crystal of Cd2CoMo relaxed with PBEsol (meta-GGA SCAN, Alexandria).

Computed properties:
E_form ... 509 meV/atom

```
data_Cd2CoMo
_cell_length_a 4.607
_cell_length_b 4.607
_cell_length_c 5.316
_cell_angle_alpha 98.12
_cell_angle_beta 98.12
_cell_angle_gamma 34.95
_symmetry_space_group_name_H-M 'P 1'
_symmetry_Int_Tables_number 1
loop_
_symmetry_equiv_pos_as_xyz
'x,y,z'
loop_
_atom_site_label
_atom_site_type_symbol
_atom_site_fract_x
_atom_site_fract_y
_atom_site_fract_z
_atom_site_occupancy
Cd1 Cd 0.000 0.000 0.000 1
Cd2 Cd 0.241 0.241 0.744 1
Co1 Co 0.499 0.499 0.446 1
Mo1 Mo 0.758 0.758 0.287 1
```


# 13
# SiSn3N

A crystal of SiSn3N relaxed with PBEsol (meta-GGA SCAN, Alexandria).

```
data_SiSn3N
_cell_length_a 5.051
_cell_length_b 5.051
_cell_length_c 5.051
_cell_angle_alpha 90.00
_cell_angle_beta 90.00
_cell_angle_gamma 90.00
_symmetry_space_group_name_H-M 'P 1'
_symmetry_Int_Tables_number 1
loop_
_symmetry_equiv_pos_as_xyz
'x,y,z'
loop_
_atom_site_label
_atom_site_type_symbol
_atom_site_fract_x
_atom_site_fract_y
_atom_site_fract_z
_atom_site_occupancy
Si1 Si 0.000 0.000 0.000 1
Sn1 Sn 0.000 0.000 0.500 1
Sn2 Sn 0.000 0.500 0.000 1
Sn3 Sn 0.500 0.000 0.000 1
N1 N 0.500 0.500 0.500 1
```


Summary of total DFT energy (no corrections) in eV/atom
-17.87 -24.79 -29.58 -26.85 -21.27 -29.38 -30.59 -16.13 -15.01 -22.05 -33.22 -27.75 -23.87
(order as listed above)
Summary of calculated volume in Å³ per atom
21.01 15.59 14.81 17.92 27.64 14.77 17.01 19.87 16.84 14.54 19.64 15.98 25.78
(order as listed above)